# BeMoAs2

BeMoAs2 after structural relaxation (PBE, Alexandria via LeMat-Bulk).

Magnetization in μB per formula unit: 0.0
Energy of formation from the pure elements in meV/atom: 111
Volume in Å³/atom: 14.43

Cell lengths 3.3564, 4.6004, 7.4772 Å; angles 90.00, 90.00, 90.00 degrees
Space group Immm (No. 71)
Asymmetric unit:
Be (0.0000, 0.0000, 0.0000)
Mo (0.0000, 0.0000, 0.5000)
As (0.0000, 0.5000, 0.2857)